No. 1
{"formula": "Pm2TmPuP4", "functional": "GGA-PBE", "state": "optimized geometry", "formation_enthalpy_0k_ev_per_atom": -1.456, "vol_a3_per_atom": 23.43, "total_energy_ev_per_atom": -7.70, "lattice_angstrom": [[6.9947, 0.0000, 0.0000], [0.0000, 4.0557, 0.0000], [-2.3374, 0.0000, 6.6086]], "species": ["Pm", "Pm", "Tm", "Pu", "P", "P", "P", "P"], "fractional_positions": [[0.0000, 0.0000, 0.0000], [0.5000, 0.5000, 0.0000], [0.0000, 0.5000, 0.5000], [0.5000, 0.0000, 0.5000], [0.2466, 0.0000, 0.7380], [0.2552, 0.5000, 0.2629], [0.7448, 0.5000, 0.7371], [0.7534, 0.0000, 0.2620]]}

=====

No. 2
{"formula": "PmPuU2P4", "functional": "GGA-PBE", "state": "optimized geometry", "formation_enthalpy_0k_ev_per_atom": -1.140, "vol_a3_per_atom": 22.49, "total_energy_ev_per_atom": -9.05, "lattice_angstrom": [[-2.8221, 2.8221, 5.6476], [2.8221, -2.8221, 5.6476], [2.8221, 2.8221, -5.6476]], "species": ["Pm", "Pu", "U", "U", "P", "P", "P", "P"], "fractional_positions": [[0.0000, 0.0000, 0.0000], [0.2500, 0.7500, 0.5000], [0.5000, 0.5000, 0.0000], [0.7500, 0.2500, 0.5000], [0.2571, 0.2571, 0.0000], [0.5033, 0.0033, 0.5000], [0.7429, 0.7429, 0.0000], [0.9967, 0.4967, 0.5000]]}

=====

No. 3
{"formula": "Pm3Pu2UP6", "functional": "GGA-PBE", "state": "optimized geometry", "formation_enthalpy_0k_ev_per_atom": -1.316, "vol_a3_per_atom": 23.41, "total_energy_ev_per_atom": -8.54, "lattice_angstrom": [[8.8115, -2.0203, 0.0000], [8.8115, 2.0203, 0.0000], [-1.8372, 0.0000, 7.8912]], "species": ["Pm", "Pm", "Pm", "Pu", "Pu", "U", "P", "P", "P", "P", "P", "P"], "fractional_positions": [[0.0000, 0.0000, 0.0000], [0.3327, 0.3327, 0.6682], [0.6673, 0.6673, 0.3318], [0.3329, 0.3329, 0.1658], [0.6671, 0.6671, 0.8342], [0.0000, 0.0000, 0.5000], [0.1614, 0.1614, 0.5877], [0.1698, 0.1698, 0.0747], [0.4983, 0.4983, 0.2617], [0.5017, 0.5017, 0.7383], [0.8302, 0.8302, 0.9253], [0.8386, 0.8386, 0.4123]]}

=====

No. 4
{"formula": "Pm2PuUP4", "functional": "GGA-PBE", "state": "optimized geometry", "formation_enthalpy_0k_ev_per_atom": -1.300, "vol_a3_per_atom": 23.29, "total_energy_ev_per_atom": -8.39, "lattice_angstrom": [[7.0030, 0.0000, 0.0000], [0.0000, 4.0265, 0.0000], [-2.3235, 0.0000, 6.6074]], "species": ["Pm", "Pm", "Pu", "U", "P", "P", "P", "P"], "fractional_positions": [[0.0000, 0.0000, 0.0000], [0.0000, 0.5000, 0.5000], [0.5000, 0.0000, 0.5000], [0.5000, 0.5000, 0.0000], [0.2650, 0.0000, 0.7592], [0.2658, 0.5000, 0.2508], [0.7342, 0.5000, 0.7492], [0.7350, 0.0000, 0.2408]]}

=====

No. 5
{"formula": "PmPu2U3P6", "functional": "GGA-PBE", "state": "optimized geometry", "formation_enthalpy_0k_ev_per_atom": -1.129, "vol_a3_per_atom": 22.53, "total_energy_ev_per_atom": -9.44, "lattice_angstrom": [[3.4357, -5.9534, 0.0000], [3.4357, 5.9534, 0.0000], [-2.2917, 0.0000, 6.6089]], "species": ["Pm", "Pu", "Pu", "U", "U", "U", "P", "P", "P", "P", "P", "P"], "fractional_positions": [[0.0000, 0.0000, 0.0000], [0.3329, 0.6671, 0.0000], [0.6671, 0.3329, 0.0000], [0.1646, 0.8354, 0.5000], [0.5000, 0.5000, 0.5000], [0.8354, 0.1646, 0.5000], [0.0865, 0.4258, 0.2589], [0.2540, 0.2540, 0.7430], [0.4258, 0.0865, 0.2589], [0.5742, 0.9135, 0.7411], [0.7460, 0.7460, 0.2570], [0.9135, 0.5742, 0.7411]]}

=====

No. 6
{"formula": "PmYPu2P4", "functional": "GGA-PBE", "state": "optimized geometry", "formation_enthalpy_0k_ev_per_atom": -1.339, "vol_a3_per_atom": 23.10, "total_energy_ev_per_atom": -9.03, "lattice_angstrom": [[6.9656, 0.0000, 0.0000], [0.0000, 4.0383, 0.0000], [-2.3459, 0.0000, 6.5686]], "species": ["Pm", "Y", "Pu", "Pu", "P", "P", "P", "P"], "fractional_positions": [[0.0000, 0.0000, 0.0000], [0.0000, 0.5000, 0.5000], [0.5000, 0.0000, 0.5000], [0.5000, 0.5000, 0.0000], [0.2575, 0.0000, 0.7502], [0.2602, 0.5000, 0.2581], [0.7398, 0.5000, 0.7419], [0.7425, 0.0000, 0.2498]]}

=====

No. 7
{"formula": "Pm2YPuP4", "functional": "GGA-PBE", "state": "optimized geometry", "formation_enthalpy_0k_ev_per_atom": -1.465, "vol_a3_per_atom": 23.73, "total_energy_ev_per_atom": -7.96, "lattice_angstrom": [[7.0273, 0.0000, 0.0000], [0.0000, 4.0716, 0.0000], [-2.3457, 0.0000, 6.6345]], "species": ["Pm", "Pm", "Y", "Pu", "P", "P", "P", "P"], "fractional_positions": [[0.0000, 0.0000, 0.0000], [0.5000, 0.5000, 0.0000], [0.0000, 0.5000, 0.5000], [0.5000, 0.0000, 0.5000], [0.2497, 0.0000, 0.7409], [0.2566, 0.5000, 0.2614], [0.7434, 0.5000, 0.7386], [0.7503, 0.0000, 0.2591]]}

=====

No. 8
{"formula": "Pm2PuZrP4", "functional": "GGA-PBE", "state": "optimized geometry", "formation_enthalpy_0k_ev_per_atom": -1.414, "vol_a3_per_atom": 22.39, "total_energy_ev_per_atom": -8.17, "lattice_angstrom": [[6.8810, 0.0000, 0.0000], [0.0000, 3.9862, 0.0000], [-2.2791, 0.0000, 6.5308]], "species": ["Pm", "Pm", "Pu", "Zr", "P", "P", "P", "P"], "fractional_positions": [[0.0000, 0.0000, 0.0000], [0.5000, 0.5000, 0.0000], [0.0000, 0.5000, 0.5000], [0.5000, 0.0000, 0.5000], [0.2505, 0.0000, 0.7324], [0.2623, 0.5000, 0.2700], [0.7377, 0.5000, 0.7300], [0.7495, 0.0000, 0.2676]]}

=====

No. 9
{"formula": "PmPu2ZrP4", "functional": "GGA-PBE", "state": "optimized geometry", "formation_enthalpy_0k_ev_per_atom": -1.316, "vol_a3_per_atom": 21.90, "total_energy_ev_per_atom": -9.27, "lattice_angstrom": [[6.8044, 0.0000, 0.0000], [0.0000, 3.9619, 0.0000], [-2.2951, 0.0000, 6.4997]], "species": ["Pm", "Pu", "Pu", "Zr", "P", "P", "P", "P"], "fractional_positions": [[0.0000, 0.0000, 0.0000], [0.5000, 0.0000, 0.5000], [0.5000, 0.5000, 0.0000], [0.0000, 0.5000, 0.5000], [0.2453, 0.0000, 0.7360], [0.2538, 0.5000, 0.2650], [0.7462, 0.5000, 0.7350], [0.7547, 0.0000, 0.2640]]}

=====

No. 10
{"formula": "RbPm2P", "functional": "GGA-PBE", "state": "optimized geometry", "formation_enthalpy_0k_ev_per_atom": -0.551, "vol_a3_per_atom": 40.73, "total_energy_ev_per_atom": -4.52, "lattice_angstrom": [[2.0252, 1.1692, 11.4685], [-2.0252, 1.1692, 11.4685], [0.0000, -2.3385, 11.4685]], "species": ["Rb", "Pm", "Pm", "P"], "fractional_positions": [[0.0000, 0.0000, 0.0000], [0.1214, 0.1214, 0.1214], [0.8786, 0.8786, 0.8786], [0.5000, 0.5000, 0.5000]]}

=====

No. 11
{"formula": "RbPmP", "functional": "GGA-PBE", "state": "optimized geometry", "formation_enthalpy_0k_ev_per_atom": -0.371, "vol_a3_per_atom": 29.80, "total_energy_ev_per_atom": -4.08, "lattice_angstrom": [[5.3195, 0.0000, 0.0000], [0.0000, 6.6029, 3.8182], [0.0000, -6.6029, 3.8182]], "species": ["Rb", "Rb", "Rb", "Pm", "Pm", "Pm", "P", "P", "P"], "fractional_positions": [[0.0000, 0.0000, 0.0000], [0.0000, 0.1109, 0.5556], [0.0000, 0.5556, 0.1109], [0.5000, 0.3024, 0.3024], [0.5000, 0.5553, 0.8110], [0.5000, 0.8110, 0.5553], [0.0000, 0.5550, 0.5550], [0.5000, 0.2218, 0.8892], [0.5000, 0.8892, 0.2218]]}

=====

No. 12
{"formula": "RbPm3P", "functional": "GGA-PBE", "state": "optimized geometry", "formation_enthalpy_0k_ev_per_atom": -0.146, "vol_a3_per_atom": 37.05, "total_energy_ev_per_atom": -4.27, "lattice_angstrom": [[5.7007, 0.0000, 0.0000], [0.0000, 5.7007, 0.0000], [0.0000, 0.0000, 5.7007]], "species": ["Rb", "Pm", "Pm", "Pm", "P"], "fractional_positions": [[0.0000, 0.0000, 0.0000], [0.0000, 0.5000, 0.5000], [0.5000, 0.0000, 0.5000], [0.5000, 0.5000, 0.0000], [0.5000, 0.5000, 0.5000]]}

=====

No. 13
{"formula": "RbPmP2S8", "functional": "GGA-PBE", "state": "optimized geometry", "vol_a3_per_atom": 27.16, "raw_formation_energy_ev_per_atom": -0.589, "total_energy_ev_per_atom": -4.72, "lattice_angstrom": [[6.2275, 0.0000, 0.0000], [-3.1138, 5.3932, 0.0000], [0.0000, 0.0000, 9.7048]], "species": ["Rb", "Pm", "P", "P", "S", "S", "S", "S", "S", "S", "S", "S"], "fractional_positions": [[0.0000, 0.0000, 0.0000], [0.0000, 0.0000, 0.5000], [0.3333, 0.6667, 0.7330], [0.6667, 0.3333, 0.2670], [0.0012, 0.3696, 0.6743], [0.3333, 0.6667, 0.9427], [0.3684, 0.9988, 0.6743], [0.3696, 0.3684, 0.3257], [0.6304, 0.6316, 0.6743], [0.6316, 0.0012, 0.3257], [0.6667, 0.3333, 0.0573], [0.9988, 0.6304, 0.3257]]}

=====

No. 14
{"formula": "PmReP", "functional": "GGA-PBE", "state": "optimized geometry", "de_polymorph_ev_per_atom": 0.000, "formation_enthalpy_0k_ev_per_atom": -0.440, "vol_a3_per_atom": 20.75, "total_energy_ev_per_atom": -7.98, "lattice_angstrom": [[4.0412, 0.0000, 0.0000], [-2.0206, 3.4998, 0.0000], [0.0000, 0.0000, 4.4008]], "species": ["Pm", "Re", "P"], "fractional_positions": [[0.0000, 0.0000, 0.0000], [0.3333, 0.6667, 0.5000], [0.6667, 0.3333, 0.5000]]}

=====

No. 15
{"formula": "PmReP", "functional": "GGA-PBE", "state": "optimized geometry", "de_polymorph_ev_per_atom": 0.079, "formation_enthalpy_0k_ev_per_atom": -0.360, "vol_a3_per_atom": 18.54, "total_energy_ev_per_atom": -7.90, "lattice_angstrom": [[-1.5996, 1.5996, 5.4332], [1.5996, -1.5996, 5.4332], [1.5996, 1.5996, -5.4332]], "species": ["Pm", "Re", "P"], "fractional_positions": [[0.0000, 0.0000, 0.0000], [0.2945, 0.2945, 0.0000], [0.7028, 0.7028, 0.0000]]}

=====

No. 16
{"formula": "Pm2ReP", "functional": "GGA-PBE", "state": "optimized geometry", "de_polymorph_ev_per_atom": 0.187, "formation_enthalpy_0k_ev_per_atom": -0.030, "vol_a3_per_atom": 22.36, "total_energy_ev_per_atom": -6.87, "lattice_angstrom": [[0.0000, 3.5497, 3.5497], [3.5497, 0.0000, 3.5497], [3.5497, 3.5497, 0.0000]], "species": ["Pm", "Pm", "Re", "P"], "fractional_positions": [[0.2500, 0.2500, 0.2500], [0.7500, 0.7500, 0.7500], [0.0000, 0.0000, 0.0000], [0.5000, 0.5000, 0.5000]]}

=====

No. 17
{"formula": "PmReP", "functional": "GGA-PBE", "state": "optimized geometry", "de_polymorph_ev_per_atom": 0.167, "formation_enthalpy_0k_ev_per_atom": -0.273, "vol_a3_per_atom": 20.03, "total_energy_ev_per_atom": -7.81, "lattice_angstrom": [[1.7391, -8.1936, 0.0000], [1.7391, 8.1936, 0.0000], [0.0000, 0.0000, 4.2180]], "species": ["Pm", "Pm", "Re", "Re", "P", "P"], "fractional_positions": [[0.0931, 0.9069, 0.7500], [0.9069, 0.0931, 0.2500], [0.2768, 0.7232, 0.7500], [0.7232, 0.2768, 0.2500], [0.4218, 0.5782, 0.7500], [0.5782, 0.4218, 0.2500]]}

=====

No. 18
{"formula": "Pm2ReP", "functional": "GGA-PBE", "state": "optimized geometry", "de_polymorph_ev_per_atom": 0.000, "formation_enthalpy_0k_ev_per_atom": -0.216, "vol_a3_per_atom": 22.00, "total_energy_ev_per_atom": -7.06, "lattice_angstrom": [[3.6662, 0.0000, 0.0000], [0.0000, 3.6662, 0.0000], [0.0000, 0.0000, 6.5483]], "species": ["Pm", "Pm", "Re", "P"], "fractional_positions": [[0.0000, 0.0000, 0.2415], [0.0000, 0.0000, 0.7585], [0.5000, 0.5000, 0.5000], [0.5000, 0.5000, 0.0000]]}

=====

No. 19
{"formula": "Pm3P3Rh2", "functional": "GGA-PBE", "state": "optimized geometry", "formation_enthalpy_0k_ev_per_atom": -1.158, "vol_a3_per_atom": 19.73, "total_energy_ev_per_atom": -6.81, "lattice_angstrom": [[2.0714, -5.4015, 0.0000], [2.0714, 5.4015, 0.0000], [0.0000, 0.0000, 14.1042]], "species": ["Pm", "Pm", "Pm", "Pm", "Pm", "Pm", "P", "P", "P", "P", "P", "P", "Rh", "Rh", "Rh", "Rh"], "fractional_positions": [[0.0745, 0.9255, 0.6079], [0.0745, 0.9255, 0.8921], [0.3595, 0.6405, 0.7500], [0.6405, 0.3595, 0.2500], [0.9255, 0.0745, 0.1079], [0.9255, 0.0745, 0.3921], [0.3421, 0.6579, 0.2500], [0.3713, 0.6287, 0.5460], [0.3713, 0.6287, 0.9540], [0.6287, 0.3713, 0.0460], [0.6287, 0.3713, 0.4540], [0.6579, 0.3421, 0.7500], [0.2210, 0.7790, 0.0956], [0.2210, 0.7790, 0.4044], [0.7790, 0.2210, 0.5956], [0.7790, 0.2210, 0.9044]]}

=====

No. 20
{"formula": "Pm2P2Rh5", "functional": "GGA-PBE", "state": "optimized geometry", "formation_enthalpy_0k_ev_per_atom": -0.936, "vol_a3_per_atom": 17.00, "total_energy_ev_per_atom": -7.28, "lattice_angstrom": [[4.1520, 0.0000, 0.0000], [0.0000, 4.1520, 0.0000], [0.0000, 0.0000, 8.8774]], "species": ["Pm", "Pm", "P", "P", "Rh", "Rh", "Rh", "Rh", "Rh"], "fractional_positions": [[0.0000, 0.0000, 0.0000], [0.0000, 0.0000, 0.5000], [0.5000, 0.5000, 0.1456], [0.5000, 0.5000, 0.8544], [0.0000, 0.5000, 0.2570], [0.0000, 0.5000, 0.7430], [0.5000, 0.0000, 0.2570], [0.5000, 0.0000, 0.7430], [0.5000, 0.5000, 0.5000]]}

=====

No. 21
{"formula": "Pm3P4Rh4", "functional": "GGA-PBE", "state": "optimized geometry", "formation_enthalpy_0k_ev_per_atom": -1.213, "vol_a3_per_atom": 17.95, "total_energy_ev_per_atom": -7.15, "lattice_angstrom": [[-1.9966, 2.0425, 12.1032], [1.9966, -2.0425, 12.1032], [1.9966, 2.0425, -12.1032]], "species": ["Pm", "Pm", "Pm", "P", "P", "P", "P", "Rh", "Rh", "Rh", "Rh"], "fractional_positions": [[0.0000, 0.0000, 0.0000], [0.3545, 0.8545, 0.5000], [0.6455, 0.1455, 0.5000], [0.1925, 0.6925, 0.5000], [0.4513, 0.4513, 0.0000], [0.5487, 0.5487, 0.0000], [0.8075, 0.3075, 0.5000], [0.0959, 0.5959, 0.5000], [0.2476, 0.2476, 0.0000], [0.7524, 0.7524, 0.0000], [0.9041, 0.4041, 0.5000]]}

=====

No. 22
{"formula": "Pm2P4Rh3", "functional": "GGA-PBE", "state": "optimized geometry", "formation_enthalpy_0k_ev_per_atom": -0.979, "vol_a3_per_atom": 16.62, "total_energy_ev_per_atom": -6.89, "lattice_angstrom": [[2.7863, -7.4379, 0.0000], [2.7863, 7.4379, 0.0000], [0.0000, 0.0000, 7.2174]], "species": ["Pm", "Pm", "Pm", "Pm", "P", "P", "P", "P", "P", "P", "P", "P", "Rh", "Rh", "Rh", "Rh", "Rh", "Rh"], "fractional_positions": [[0.1109, 0.8891, 0.9119], [0.3891, 0.6109, 0.4119], [0.6109, 0.3891, 0.5881], [0.8891, 0.1109, 0.0881], [0.1899, 0.8101, 0.5371], [0.1961, 0.3039, 0.7500], [0.3039, 0.1961, 0.2500], [0.3101, 0.6899, 0.0371], [0.6899, 0.3101, 0.9629], [0.6961, 0.8039, 0.7500], [0.8039, 0.6961, 0.2500], [0.8101, 0.1899, 0.4629], [0.0000, 0.0000, 0.5000], [0.0351, 0.4649, 0.7500], [0.4649, 0.0351, 0.2500], [0.5000, 0.5000, 0.0000], [0.5351, 0.9649, 0.7500], [0.9649, 0.5351, 0.2500]]}

=====

No. 23
{"formula": "Pm3P4Rh2", "functional": "GGA-PBE", "state": "optimized geometry", "formation_enthalpy_0k_ev_per_atom": -1.161, "vol_a3_per_atom": 20.06, "total_energy_ev_per_atom": -6.78, "lattice_angstrom": [[5.8830, -2.0350, 0.0000], [5.8830, 2.0350, 0.0000], [-3.9743, 0.0000, 7.5387]], "species": ["Pm", "Pm", "Pm", "P", "P", "P", "P", "Rh", "Rh"], "fractional_positions": [[0.0000, 0.0000, 0.0000], [0.3688, 0.3688, 0.2760], [0.6312, 0.6312, 0.7240], [0.0916, 0.0916, 0.3952], [0.3111, 0.3111, 0.8993], [0.6889, 0.6889, 0.1007], [0.9084, 0.9084, 0.6048], [0.3165, 0.3165, 0.6236], [0.6835, 0.6835, 0.3764]]}